[1]
Density functional theory data (PBE) for crystalline Pu2Co at its relaxed geometry.

Properties
Calculated density (kg/m³): 14727
DFT total energy (eV/atom): -11.821

```
data_Pu2Co
_chemical_formula_sum 'Pu6 Co3'
_cell_length_a 7.423
_cell_length_b 7.423
_cell_length_c 3.877
_cell_angle_alpha 90.00
_cell_angle_beta 90.00
_cell_angle_gamma 120.00
_symmetry_space_group_name_H-M 'P 1'
_symmetry_Int_Tables_number 1
loop_
_symmetry_equiv_pos_as_xyz
'x,y,z'
loop_
_atom_site_label
_atom_site_fract_x
_atom_site_fract_y
_atom_site_fract_z
Pu1 0.000 0.264 0.000
Pu2 0.000 0.590 0.500
Pu3 0.264 0.000 0.000
Pu4 0.410 0.410 0.500
Pu5 0.590 0.000 0.500
Pu6 0.736 0.736 0.000
Co1 0.000 0.000 0.500
Co2 0.333 0.667 0.000
Co3 0.667 0.333 0.000
```

[2]
Density functional theory data (PBE) for crystalline Pu2Co17 at its relaxed geometry.

Properties
Relative energy among the computed polymorphs (meV/atom): 0
Calculated density (kg/m³): 10760

```
data_Pu2Co17
_chemical_formula_sum 'Pu2 Co17'
_cell_length_a 6.174
_cell_length_b 6.174
_cell_length_c 6.174
_cell_angle_alpha 82.55
_cell_angle_beta 82.55
_cell_angle_gamma 82.55
_symmetry_space_group_name_H-M 'P 1'
_symmetry_Int_Tables_number 1
loop_
_symmetry_equiv_pos_as_xyz
'x,y,z'
loop_
_atom_site_label
_atom_site_fract_x
_atom_site_fract_y
_atom_site_fract_z
Pu1 0.154 0.154 0.154
Pu2 0.846 0.846 0.846
Co1 0.000 0.500 0.500
Co2 0.149 0.149 0.652
Co3 0.149 0.652 0.149
Co4 0.205 0.500 0.795
Co5 0.205 0.795 0.500
Co6 0.348 0.851 0.851
Co7 0.402 0.402 0.402
Co8 0.500 0.000 0.500
Co9 0.500 0.205 0.795
Co10 0.500 0.500 0.000
Co11 0.500 0.795 0.205
Co12 0.598 0.598 0.598
Co13 0.652 0.149 0.149
Co14 0.795 0.205 0.500
Co15 0.795 0.500 0.205
Co16 0.851 0.348 0.851
Co17 0.851 0.851 0.348
```

[3]
Density functional theory data (PBE) for crystalline PuCoRe at its relaxed geometry.

Properties
Relative energy among the computed polymorphs (meV/atom): 0
Calculated density (kg/m³): 15281

```
data_PuCoRe
_chemical_formula_sum 'Pu4 Co4 Re4'
_cell_length_a 5.968
_cell_length_b 5.968
_cell_length_c 5.968
_cell_angle_alpha 90.00
_cell_angle_beta 90.00
_cell_angle_gamma 90.00
_symmetry_space_group_name_H-M 'P 1'
_symmetry_Int_Tables_number 1
loop_
_symmetry_equiv_pos_as_xyz
'x,y,z'
loop_
_atom_site_label
_atom_site_fract_x
_atom_site_fract_y
_atom_site_fract_z
Pu1 0.000 0.000 0.000
Pu2 0.000 0.500 0.500
Pu3 0.500 0.000 0.500
Pu4 0.500 0.500 0.000
Co1 0.000 0.000 0.500
Co2 0.000 0.500 0.000
Co3 0.500 0.000 0.000
Co4 0.500 0.500 0.500
Re1 0.250 0.250 0.250
Re2 0.250 0.750 0.750
Re3 0.750 0.250 0.750
Re4 0.750 0.750 0.250
```

[4]
Density functional theory data (PBE) for crystalline PuCoRe at its relaxed geometry.

Properties
Relative energy among the computed polymorphs (meV/atom): 116
Calculated density (kg/m³): 15279

```
data_PuCoRe
_chemical_formula_sum 'Pu4 Co4 Re4'
_cell_length_a 5.969
_cell_length_b 5.969
_cell_length_c 5.969
_cell_angle_alpha 90.00
_cell_angle_beta 90.00
_cell_angle_gamma 90.00
_symmetry_space_group_name_H-M 'P 1'
_symmetry_Int_Tables_number 1
loop_
_symmetry_equiv_pos_as_xyz
'x,y,z'
loop_
_atom_site_label
_atom_site_fract_x
_atom_site_fract_y
_atom_site_fract_z
Pu1 0.000 0.000 0.000
Pu2 0.000 0.500 0.500
Pu3 0.500 0.000 0.500
Pu4 0.500 0.500 0.000
Co1 0.250 0.250 0.250
Co2 0.250 0.750 0.750
Co3 0.750 0.250 0.750
Co4 0.750 0.750 0.250
Re1 0.250 0.250 0.750
Re2 0.250 0.750 0.250
Re3 0.750 0.250 0.250
Re4 0.750 0.750 0.750
```

[5]
Density functional theory data (PBE) for crystalline Sm2PuCo2 at its relaxed geometry.

Properties
Calculated density (kg/m³): 10073
DFT total energy (eV/atom): -7.718

```
data_Sm2PuCo2
_chemical_formula_sum 'Sm4 Pu2 Co4'
_cell_length_a 5.896
_cell_length_b 5.896
_cell_length_c 7.297
_cell_angle_alpha 98.95
_cell_angle_beta 98.95
_cell_angle_gamma 61.12
_symmetry_space_group_name_H-M 'P 1'
_symmetry_Int_Tables_number 1
loop_
_symmetry_equiv_pos_as_xyz
'x,y,z'
loop_
_atom_site_label
_atom_site_fract_x
_atom_site_fract_y
_atom_site_fract_z
Sm1 0.034 0.268 0.147
Sm2 0.268 0.034 0.647
Sm3 0.732 0.966 0.353
Sm4 0.966 0.732 0.853
Pu1 0.409 0.591 0.250
Pu2 0.591 0.409 0.750
Co1 0.206 0.494 0.489
Co2 0.494 0.206 0.989
Co3 0.506 0.794 0.011
Co4 0.794 0.506 0.511
```

[6]
Density functional theory data (PBE) for crystalline SrPuCo at its relaxed geometry.

Properties
Relative energy among the computed polymorphs (meV/atom): 0
Calculated density (kg/m³): 7874

```
data_SrPuCo
_chemical_formula_sum 'Sr4 Pu4 Co4'
_cell_length_a 6.907
_cell_length_b 6.907
_cell_length_c 6.907
_cell_angle_alpha 90.00
_cell_angle_beta 90.00
_cell_angle_gamma 90.00
_symmetry_space_group_name_H-M 'P 1'
_symmetry_Int_Tables_number 1
loop_
_symmetry_equiv_pos_as_xyz
'x,y,z'
loop_
_atom_site_label
_atom_site_fract_x
_atom_site_fract_y
_atom_site_fract_z
Sr1 0.000 0.000 0.000
Sr2 0.000 0.500 0.500
Sr3 0.500 0.000 0.500
Sr4 0.500 0.500 0.000
Pu1 0.000 0.000 0.500
Pu2 0.000 0.500 0.000
Pu3 0.500 0.000 0.000
Pu4 0.500 0.500 0.500
Co1 0.250 0.250 0.750
Co2 0.250 0.750 0.250
Co3 0.750 0.250 0.250
Co4 0.750 0.750 0.750
```

[7]
Density functional theory data (PBE) for crystalline Tb2PuCo2 at its relaxed geometry.

Properties
Calculated density (kg/m³): 10715
DFT total energy (eV/atom): -7.731

```
data_Tb2PuCo2
_chemical_formula_sum 'Tb4 Pu2 Co4'
_cell_length_a 5.826
_cell_length_b 5.826
_cell_length_c 7.251
_cell_angle_alpha 99.24
_cell_angle_beta 99.24
_cell_angle_gamma 60.60
_symmetry_space_group_name_H-M 'P 1'
_symmetry_Int_Tables_number 1
loop_
_symmetry_equiv_pos_as_xyz
'x,y,z'
loop_
_atom_site_label
_atom_site_fract_x
_atom_site_fract_y
_atom_site_fract_z
Tb1 0.033 0.269 0.148
Tb2 0.269 0.033 0.648
Tb3 0.731 0.967 0.352
Tb4 0.967 0.731 0.852
Pu1 0.404 0.596 0.250
Pu2 0.596 0.404 0.750
Co1 0.205 0.495 0.490
Co2 0.495 0.205 0.990
Co3 0.505 0.795 0.010
Co4 0.795 0.505 0.510
```

[8]
Density functional theory data (PBE) for crystalline TbPuCo at its relaxed geometry.

Properties
Relative energy among the computed polymorphs (meV/atom): 0
Calculated density (kg/m³): 10839

```
data_TbPuCo
_chemical_formula_sum 'Tb4 Pu4 Co4'
_cell_length_a 6.566
_cell_length_b 6.566
_cell_length_c 6.566
_cell_angle_alpha 90.00
_cell_angle_beta 90.00
_cell_angle_gamma 90.00
_symmetry_space_group_name_H-M 'P 1'
_symmetry_Int_Tables_number 1
loop_
_symmetry_equiv_pos_as_xyz
'x,y,z'
loop_
_atom_site_label
_atom_site_fract_x
_atom_site_fract_y
_atom_site_fract_z
Tb1 0.000 0.000 0.000
Tb2 0.000 0.500 0.500
Tb3 0.500 0.000 0.500
Tb4 0.500 0.500 0.000
Pu1 0.000 0.000 0.500
Pu2 0.000 0.500 0.000
Pu3 0.500 0.000 0.000
Pu4 0.500 0.500 0.500
Co1 0.250 0.250 0.750
Co2 0.250 0.750 0.250
Co3 0.750 0.250 0.250
Co4 0.750 0.750 0.750
```